1.
Entry from Alexandria via LeMat-Bulk: La6Mg5Ag after structural relaxation (PBE).

Lattice parameters (Å, degrees): 5.5741 7.8677 8.8183 90.00 71.58 90.00
With the nearest neighbours (Å) after each atom.
Positions (direct):
Mg  0.6683  0.5000  0.6633  8 La 3.41-3.46
Mg  0.3266  0.0000  0.3468  8 La 3.36-3.49
Mg  0.0000  0.5000  0.0000  8 La 3.37-3.43
Mg  0.6734  0.0000  0.6532  8 La 3.36-3.49
Mg  0.3317  0.5000  0.3367  8 La 3.41-3.46
Ag  0.0000  0.0000  0.0000  8 La 3.37-3.39
La  0.8364  0.7497  0.3272  7 Mg 3.36-3.43, 1 Ag 3.37
La  0.8364  0.2503  0.3272  7 Mg 3.36-3.43, 1 Ag 3.37
La  0.5000  0.2454  0.0000  2 Ag 3.39, 6 Mg 3.43-3.49
La  0.5000  0.7546  0.0000  2 Ag 3.39, 6 Mg 3.43-3.49
La  0.1636  0.7497  0.6728  7 Mg 3.36-3.43, 1 Ag 3.37
La  0.1636  0.2503  0.6728  7 Mg 3.36-3.43, 1 Ag 3.37

Computed properties:
Space group ... Cmmm (65)
Electronic total energy ... -3.50 eV per atom


2.
Entry from Alexandria via LeMat-Bulk: Rb2AlI4 after structural relaxation (PBE).

Lattice parameters (Å, degrees): 5.7669 5.7669 10.2318 106.37 106.37 90.00
With the nearest neighbours (Å) after each atom.
Positions (direct):
I  0.8393  0.8393  0.6786  1 Al 3.02
I  0.1607  0.1607  0.3214  1 Al 3.02
I  0.0000  0.5000  0.0000  2 Al 2.88
I  0.5000  0.0000  0.0000  2 Al 2.88
Al  0.0000  0.0000  0.0000  6 I 2.88-3.02
Rb  0.6416  0.6416  0.2832  9 I 3.71-4.09
Rb  0.3584  0.3584  0.7168  9 I 3.71-4.09

Computed properties:
Formation energy without anion corrections ... -680 kJ/mol of formula units
Space group ... I4/mmm (139)
Electronic total energy ... -2.70 eV per atom


3.
Entry from Alexandria via LeMat-Bulk: SiIr2Rh after structural relaxation (PBE).

Lattice parameters (Å, degrees): 4.6306 4.6306 4.6306 130.71 130.71 72.28
With the nearest neighbours (Å) after each atom.
Positions (direct):
Ir  0.0000  0.0000  0.0000  4 Si 2.69, 4 Ir 2.69, 4 Rh 2.73
Ir  0.2500  0.7500  0.5000  4 Rh 2.69, 4 Ir 2.69, 4 Si 2.73
Rh  0.5000  0.5000  0.0000  8 Ir 2.69-2.73, 4 Si 2.69
Si  0.7500  0.2500  0.5000  8 Ir 2.69-2.73, 4 Rh 2.69

Computed properties:
Formation energy without anion corrections ... -76 kJ/mol of formula units
Space group ... I-4m2 (119)
Electronic total energy ... -7.82 eV per atom


4.
Entry from Alexandria via LeMat-Bulk: Pr5HoMg3 after structural relaxation (PBE).

Lattice parameters (Å, degrees): 7.0919 9.6697 9.6692 120.00 90.00 90.00
With the nearest neighbours (Å) after each atom.
Positions (direct):
Pr  0.0000  0.6667  0.3333  8 Pr 3.55-3.69, 6 Mg 3.69-3.70
Pr  0.5000  0.3333  0.6667  8 Pr 3.55-3.69, 6 Mg 3.69-3.70
Pr  0.0000  0.3333  0.6667  8 Pr 3.55-3.69, 6 Mg 3.69-3.70
Pr  0.5000  0.6667  0.3333  8 Pr 3.55-3.69, 6 Mg 3.69-3.70
Pr  0.7500  0.6688  0.6688  5 Mg 3.19-3.55
Pr  0.7500  0.0000  0.3312  5 Mg 3.19-3.55
Pr  0.7500  0.3312  0.0000  5 Mg 3.19-3.55
Pr  0.2500  0.3312  0.3312  5 Mg 3.19-3.55
Pr  0.2500  0.0000  0.6688  5 Mg 3.19-3.55
Pr  0.2500  0.6688  0.0000  5 Mg 3.19-3.55
Ho  0.0000  0.0000  0.0000  2 Ho 3.55, 6 Mg 3.65, 6 Pr 3.66
Ho  0.5000  0.0000  0.0000  2 Ho 3.55, 6 Mg 3.65, 6 Pr 3.66
Mg  0.7500  0.3295  0.3295  5 Pr 3.19-3.55
Mg  0.7500  0.0000  0.6705  5 Pr 3.19-3.55
Mg  0.7500  0.6705  0.0000  5 Pr 3.19-3.55
Mg  0.2500  0.6705  0.6705  5 Pr 3.19-3.55
Mg  0.2500  0.0000  0.3295  5 Pr 3.19-3.55
Mg  0.2500  0.3295  0.0000  5 Pr 3.19-3.55

Computed properties:
Space group ... P6_3/mcm (193)
Electronic total energy ... -3.70 eV per atom


5.
Entry from Alexandria via LeMat-Bulk: CoGePt after structural relaxation (PBE).

Lattice parameters (Å, degrees): 3.7514 8.4859 5.6741 90.00 90.00 90.00
With the nearest neighbours (Å) after each atom.
Positions (direct):
Ge  0.2500  0.8337  0.5848  4 Co 2.41-2.59, 3 Pt 2.51-2.63
Ge  0.7500  0.1663  0.5848  4 Co 2.41-2.59, 3 Pt 2.51-2.63
Ge  0.2500  0.3337  0.0848  4 Co 2.41-2.59, 3 Pt 2.51-2.63
Ge  0.7500  0.6663  0.0848  4 Co 2.41-2.59, 3 Pt 2.51-2.63
Co  0.2500  0.0923  0.8272  4 Ge 2.41-2.59, 2 Co 2.44, 4 Pt 2.57-2.64
Co  0.7500  0.9077  0.8272  4 Ge 2.41-2.59, 2 Co 2.44, 4 Pt 2.57-2.64
Co  0.2500  0.5923  0.3272  4 Ge 2.41-2.59, 2 Co 2.44, 4 Pt 2.57-2.64
Co  0.7500  0.4077  0.3272  4 Ge 2.41-2.59, 2 Co 2.44, 4 Pt 2.57-2.64
Pt  0.2500  0.8793  0.1486  3 Ge 2.51-2.63, 4 Co 2.57-2.64, 2 Pt 2.78
Pt  0.7500  0.1207  0.1486  3 Ge 2.51-2.63, 4 Co 2.57-2.64, 2 Pt 2.78
Pt  0.2500  0.3793  0.6486  3 Ge 2.51-2.63, 4 Co 2.57-2.64, 2 Pt 2.78
Pt  0.7500  0.6207  0.6486  3 Ge 2.51-2.63, 4 Co 2.57-2.64, 2 Pt 2.78

Computed properties:
Space group ... Ama2 (40)
Electronic total energy ... -6.13 eV per atom


6.
Entry from Alexandria via LeMat-Bulk: NdCu4Ni4 after structural relaxation (PBE).

Lattice parameters (Å, degrees): 4.1222 7.8435 7.8435 90.00 90.00 90.00
With the nearest neighbours (Å) after each atom.
Positions (direct):
Nd  0.0000  0.0000  0.0000  4 Cu 2.98, 8 Ni 3.01
Nd  0.5000  0.5000  0.5000  4 Cu 2.98, 8 Ni 3.01
Cu  0.5000  0.4279  0.8735  1 Cu 2.28, 3 Ni 2.37-2.39
Cu  0.0000  0.6265  0.9279  1 Cu 2.28, 3 Ni 2.37-2.39
Cu  0.5000  0.5721  0.1265  1 Cu 2.28, 3 Ni 2.37-2.39
Cu  0.0000  0.0721  0.6265  1 Cu 2.28, 3 Ni 2.37-2.39
Cu  0.5000  0.8735  0.5721  1 Cu 2.28, 3 Ni 2.37-2.39
Cu  0.0000  0.9279  0.3735  1 Cu 2.28, 3 Ni 2.37-2.39
Cu  0.0000  0.3735  0.0721  1 Cu 2.28, 3 Ni 2.37-2.39
Cu  0.5000  0.1265  0.4279  1 Cu 2.28, 3 Ni 2.37-2.39
Ni  0.5000  0.8522  0.2383  5 Cu 2.37-2.62, 2 Ni 2.62
Ni  0.5000  0.1478  0.7617  5 Cu 2.37-2.62, 2 Ni 2.62
Ni  0.0000  0.7383  0.6478  5 Cu 2.37-2.62, 2 Ni 2.62
Ni  0.0000  0.3522  0.7383  5 Cu 2.37-2.62, 2 Ni 2.62
Ni  0.0000  0.6478  0.2617  5 Cu 2.37-2.62, 2 Ni 2.62
Ni  0.5000  0.2383  0.1478  5 Cu 2.37-2.62, 2 Ni 2.62
Ni  0.5000  0.7617  0.8522  5 Cu 2.37-2.62, 2 Ni 2.62
Ni  0.0000  0.2617  0.3522  5 Cu 2.37-2.62, 2 Ni 2.62

Computed properties:
Space group ... I4/m (87)
Electronic total energy ... -4.88 eV per atom


7.
Entry from Alexandria via LeMat-Bulk: BaBeV after structural relaxation (PBE).

Lattice parameters (Å, degrees): 4.1001 11.5264 6.7362 90.00 90.00 90.00
With the nearest neighbours (Å) after each atom.
Positions (direct):
Be  0.0000  0.5888  0.0000  1 Be 2.05
Be  0.0000  0.4112  0.0000  1 Be 2.05
Be  0.5000  0.0888  0.5000  1 Be 2.05
Be  0.5000  0.9112  0.5000  1 Be 2.05
Ba  0.0000  0.3269  0.5000  4 Be 3.43-3.51, 4 V 3.75
Ba  0.0000  0.6731  0.5000  4 Be 3.43-3.51, 4 V 3.75
Ba  0.5000  0.8269  0.0000  4 Be 3.43-3.51, 4 V 3.75
Ba  0.5000  0.1731  0.0000  4 Be 3.43-3.51, 4 V 3.75
V  0.0000  0.0000  0.6396  1 V 1.88
V  0.0000  0.0000  0.3604  1 V 1.88
V  0.5000  0.5000  0.1396  1 V 1.88
V  0.5000  0.5000  0.8604  1 V 1.88

Computed properties:
Space group ... Immm (71)
E above lowest polymorph ... 163 meV/atom
Electronic total energy ... -4.42 eV per atom


| no. | DOS at the Fermi energy (states/eV/atom) |
| --- | --- |
| 1 | 1.049 |
| 2 | 0.312 |
| 3 | 0.866 |
| 4 | 1.097 |
| 5 | 0.973 |
| 6 | 0.471 |
| 7 | 1.006 |